A plane-wave DFT calculation with PBE with a Hubbard U was carried out for a relaxed structure of NdCr2AsO8.

For the electronic total energy, the calculation gives -7.0443 eV/atom.

Lattice parameters (Å, degrees): 4.742 4.742 6.766 97.72 97.72 78.59
Positions (direct):
Nd1 0.000 0.000 0.000
Cr1 0.434 0.434 0.761
Cr2 0.566 0.566 0.239
As1 0.000 0.000 0.500
O1 0.205 0.770 0.289
O2 0.230 0.795 0.711
O3 0.246 0.246 0.536
O4 0.330 0.330 0.984
O5 0.670 0.670 0.016
O6 0.754 0.754 0.464
O7 0.770 0.205 0.289
O8 0.795 0.230 0.711